Arrangement i

Entry from Alexandria via LeMat-Bulk: crystalline ScSnSb2Te at its relaxed geometry (PBEsol).

Output
**Space group**: P4/mmm
**N(E_F)**: 4.6 states/eV per cell
**Magnetization**: 0.00 μB per atom

Geometry as POSCAR:
```
ScSnSb2Te
1.0
5.451 0.000 0.000
0.000 5.451 0.000
0.000 0.000 5.586
Sc Sb Te Sn
1 2 1 1
direct
0.500 0.500 0.500 Sc
0.000 0.500 0.000 Sb
0.500 0.000 0.000 Sb
0.000 0.000 0.500 Te
0.000 0.000 0.000 Sn
```

---

Arrangement ii

Entry from Alexandria via LeMat-Bulk: crystalline ScSnSb2Te at its relaxed geometry (PBEsol).

Output
**Space group**: P4/mmm
**N(E_F)**: 3.8 states/eV per cell
**Magnetization**: 0.00 μB per atom

Geometry as POSCAR:
```
ScSnSb2Te
1.0
-1.057 5.291 -0.336
-5.299 -1.044 0.225
0.156 0.373 5.387
Sc Sb Te Sn
1 2 1 1
direct
0.000 0.000 0.000 Sc
0.000 0.500 0.000 Sb
0.500 0.000 0.000 Sb
0.000 0.000 0.500 Te
0.500 0.500 0.500 Sn
```

---

Best to worst by energy: arrangement ii, arrangement i.

---

Arrangement i

Entry from Alexandria via LeMat-Bulk: crystalline ScTl2Sb at its relaxed geometry (PBEsol).

Output
**Space group**: P4mm
**N(E_F)**: 1.7 states/eV per cell
**Magnetization**: 0.00 μB per atom

Geometry as POSCAR:
```
ScTl2Sb
1.0
-3.378 -0.600 -1.849
0.827 -3.798 -0.278
-3.061 -1.103 5.951
Sb Sc Tl
1 1 2
direct
0.000 0.000 0.553 Sb
0.500 0.500 0.702 Sc
0.000 0.000 0.998 Tl
0.500 0.500 0.247 Tl
```

---

Arrangement ii

Entry from Alexandria via LeMat-Bulk: crystalline ScTl2Sb at its relaxed geometry (PBEsol).

Output
**Space group**: Fmmm
**N(E_F)**: 1.9 states/eV per cell
**Magnetization**: 0.00 μB per atom

Geometry as POSCAR:
```
ScTl2Sb
1.0
-2.566 0.551 3.355
2.803 -2.053 2.464
2.483 5.713 -1.735
Sb Sc Tl
1 1 2
direct
0.000 0.000 0.000 Sb
0.500 0.500 0.000 Sc
0.000 0.000 0.500 Tl
0.500 0.500 0.500 Tl
```

---

Best to worst by energy: arrangement i, arrangement ii.

---

Arrangement i

Entry from Alexandria via LeMat-Bulk: crystalline YScSb2 at its relaxed geometry (PBEsol).

Output
**Space group**: P4/mmm
**N(E_F)**: 0.7 states/eV per cell
**Magnetization**: 0.00 μB per atom

Geometry as POSCAR:
```
YScSb2
1.0
4.226 0.000 0.000
0.000 4.226 0.000
0.000 0.000 5.970
Y Sb Sc
1 2 1
direct
0.000 0.000 0.500 Y
0.000 0.000 0.000 Sb
0.500 0.500 0.500 Sb
0.500 0.500 0.000 Sc
```

---

Arrangement ii

Entry from Alexandria via LeMat-Bulk: crystalline YScSb2 at its relaxed geometry (PBEsol).

Output
**Space group**: Pmmm
**N(E_F)**: 2.7 states/eV per cell
**Magnetization**: 0.00 μB per atom

Geometry as POSCAR:
```
YScSb2
1.0
3.236 0.000 0.000
0.000 3.858 0.000
0.000 0.000 7.722
Sb Sc Y
2 1 1
direct
0.000 0.000 0.263 Sb
0.000 0.000 0.737 Sb
0.500 0.500 0.500 Sc
0.500 0.500 0.000 Y
```

---

Arrangement iii

Entry from Alexandria via LeMat-Bulk: crystalline YScSb2 at its relaxed geometry (PBEsol).

Output
**Space group**: R3m
**N(E_F)**: 4.4 states/eV per cell
**Magnetization**: 0.00 μB per atom

Geometry as POSCAR:
```
YScSb2
1.0
3.459 0.000 0.000
1.729 2.995 0.000
1.729 0.998 10.025
Sb Sc Y
2 1 1
direct
0.001 0.001 0.998 Sb
0.753 0.753 0.741 Sb
0.494 0.494 0.519 Sc
0.253 0.253 0.242 Y
```

---

Best to worst by energy: arrangement i, arrangement ii, arrangement iii.

---

Arrangement i

Entry from Alexandria via LeMat-Bulk: crystalline SiSbSe at its relaxed geometry (PBEsol).

Output
**Space group**: F-43m
**N(E_F)**: 1.4 states/eV per cell
**Magnetization**: 0.00 μB per atom

Geometry as POSCAR:
```
SiSbSe
1.0
-2.814 -2.106 -3.112
-3.053 -3.267 1.430
-4.603 0.925 -0.005
Sb Si Se
1 1 1
direct
0.500 0.500 0.500 Sb
0.000 0.000 0.000 Si
0.250 0.250 0.250 Se
```

---

Arrangement ii

Entry from Alexandria via LeMat-Bulk: crystalline SiSbSe at its relaxed geometry (PBEsol).

Output
**Space group**: P3m1
**N(E_F)**: 1.6 states/eV per cell
**Magnetization**: 0.00 μB per atom

Geometry as POSCAR:
```
SiSbSe
1.0
3.919 0.000 0.000
-1.959 3.394 0.000
0.000 0.000 4.907
Sb Si Se
1 1 1
direct
0.000 0.000 0.035 Sb
0.333 0.667 0.331 Si
0.667 0.333 0.634 Se
```

---

Best to worst by energy: arrangement ii, arrangement i.